Entry 1:
# CsLiGaH6 | the Alexandria database | PBE | relaxed
data_CsLiGaH6
_chemical_formula_sum 'Cs2 Li2 Ga2 H12'
_space_group_name_H-M_alt 'C 1 2 1'
_space_group_IT_number 5
_cell_length_a 4.1565
_cell_length_b 9.3799
_cell_length_c 6.2984
_cell_angle_alpha 90.00
_cell_angle_beta 97.21
_cell_angle_gamma 90.00
loop_
_space_group_symop_operation_xyz
'x,y,z'
'-x,y,-z'
'x+1/2,y+1/2,z'
'-x+1/2,y+1/2,-z'
loop_
_atom_site_label
_atom_site_type_symbol
_atom_site_fract_x
_atom_site_fract_y
_atom_site_fract_z
Cs1 Cs 0.0000 0.0000 0.0000
Li1 Li 0.0000 0.3740 0.5000
Ga1 Ga 0.0000 0.6621 0.5000
H1 H 0.1254 0.5268 0.3430
H2 H 0.1741 0.2204 0.3366
H3 H 0.2277 0.7699 0.3196
# Calculated total energy, eV/atom: -2.807
# V, Å³ per cell: 243.61
# Total magnetic moment, μB per formula unit: 0.00
# ρ, kg/m3: 2939



Entry 2:
# LaNbN3 | the Alexandria database | PBE | relaxed
data_LaNbN3
_chemical_formula_sum 'La1 Nb1 N3'
_space_group_name_H-M_alt 'P m -3 m'
_space_group_IT_number 221
_space_group_name_Hall '-P 4 2 3'
_cell_length_a 4.1000
_cell_length_b 4.1000
_cell_length_c 4.1000
_cell_angle_alpha 90.00
_cell_angle_beta 90.00
_cell_angle_gamma 90.00
loop_
_atom_site_label
_atom_site_type_symbol
_atom_site_fract_x
_atom_site_fract_y
_atom_site_fract_z
La1 La 0.0000 0.0000 0.0000
Nb1 Nb 0.5000 0.5000 0.5000
N1 N 0.0000 0.5000 0.5000
# Uncorrected formation energy, meV per atom: -860.1
# Calculated total energy, eV/atom: -8.855
# V, Å³ per cell: 68.92
# Total magnetic moment, μB per formula unit: 0.00
# ρ, kg/m3: 6597



Entry 3:
# CeThPd6 | the Alexandria database | PBE | relaxed
data_CeThPd6
_chemical_formula_sum 'Ce1 Th1 Pd6'
_space_group_name_H-M_alt 'P 4/m m m'
_space_group_IT_number 123
_space_group_name_Hall '-P 4 2'
_cell_length_a 4.1967
_cell_length_b 4.1967
_cell_length_c 8.3844
_cell_angle_alpha 90.00
_cell_angle_beta 90.00
_cell_angle_gamma 90.00
loop_
_atom_site_label
_atom_site_type_symbol
_atom_site_fract_x
_atom_site_fract_y
_atom_site_fract_z
Ce1 Ce 0.0000 0.0000 0.0000
Th1 Th 0.0000 0.0000 0.5000
Pd1 Pd 0.0000 0.5000 0.2502
Pd2 Pd 0.5000 0.5000 0.0000
Pd3 Pd 0.5000 0.5000 0.5000
# Calculated total energy, eV/atom: -6.440
# V, Å³ per cell: 147.66
# Total magnetic moment, μB per formula unit: 0.60
# ρ, kg/m3: 11365



Entry 4:
# BaSb2TeRu | the Alexandria database | PBE | relaxed
data_BaSb2TeRu
_chemical_formula_sum 'Ba1 Sb2 Te1 Ru1'
_space_group_name_H-M_alt 'P 4/m m m'
_space_group_IT_number 123
_space_group_name_Hall '-P 4 2'
_cell_length_a 5.0770
_cell_length_b 5.0770
_cell_length_c 6.0971
_cell_angle_alpha 90.00
_cell_angle_beta 90.00
_cell_angle_gamma 90.00
loop_
_atom_site_label
_atom_site_type_symbol
_atom_site_fract_x
_atom_site_fract_y
_atom_site_fract_z
Ba1 Ba 0.0000 0.0000 0.0000
Sb1 Sb 0.0000 0.5000 0.5000
Te1 Te 0.5000 0.5000 0.0000
Ru1 Ru 0.5000 0.5000 0.5000
# Uncorrected formation energy, meV per atom: -311.3
# Calculated total energy, eV/atom: -4.828
# V, Å³ per cell: 157.16
# Offset from the most stable computed form, kJ per mole of atoms: 0.0
# Total magnetic moment, μB per formula unit: 0.00
# ρ, kg/m3: 6440



Entry 5:
# MnV2Os | the Alexandria database | PBE | relaxed
data_MnV2Os
_chemical_formula_sum 'Mn4 V8 Os4'
_space_group_name_H-M_alt 'I -4 2 d'
_space_group_IT_number 122
_space_group_name_Hall 'I -4 2bw'
_cell_length_a 3.5561
_cell_length_b 3.5561
_cell_length_c 18.2324
_cell_angle_alpha 90.00
_cell_angle_beta 90.00
_cell_angle_gamma 90.00
loop_
_atom_site_label
_atom_site_type_symbol
_atom_site_fract_x
_atom_site_fract_y
_atom_site_fract_z
Mn1 Mn 0.0000 0.0000 0.0000
V1 V 0.2456 0.2500 0.1250
Os1 Os 0.0000 0.0000 0.5000
# Calculated total energy, eV/atom: -9.082
# V, Å³ per cell: 230.57
# Offset from the most stable computed form, kJ per mole of atoms: 83.1
# Total magnetic moment, μB per formula unit: 2.02
# ρ, kg/m3: 9998



Entry 6:
# CoCuRe2 | the Alexandria database | PBE | relaxed
data_CoCuRe2
_chemical_formula_sum 'Co4 Cu4 Re8'
_space_group_name_H-M_alt 'F -4 3 m'
_space_group_IT_number 216
_space_group_name_Hall 'F -4 2 3'
_cell_length_a 5.9898
_cell_length_b 5.9898
_cell_length_c 5.9898
_cell_angle_alpha 90.00
_cell_angle_beta 90.00
_cell_angle_gamma 90.00
loop_
_atom_site_label
_atom_site_type_symbol
_atom_site_fract_x
_atom_site_fract_y
_atom_site_fract_z
Co1 Co 0.0000 0.0000 0.0000
Cu1 Cu 0.2500 0.2500 0.2500
Re1 Re 0.0000 0.0000 0.5000
Re2 Re 0.2500 0.2500 0.7500
# Calculated total energy, eV/atom: -8.742
# V, Å³ per cell: 214.90
# Offset from the most stable computed form, kJ per mole of atoms: 11.8
# Total magnetic moment, μB per formula unit: 0.39
# ρ, kg/m3: 15296



Question: The highest calculated total energy belongs to which entry?
Answer: CsLiGaH6



Question: The highest V belongs to which entry?
Answer: CsLiGaH6



Question: Which of these has the highest ρ?
Answer: CoCuRe2